The following is a PBE+U calculation of a geometry-optimized V2RhO6 structure, from the Alexandria database.

For the total energy, the calculation gives -7.279 eV per atom. As for the magnetization: 1.99 Bohr magnetons per cell.

The space group is C2/m (No. 12) and the conventional cell measures 9.946, 3.374 and 7.116 Å, with angles of 90.00, 95.44 and 90.00 degrees. The inequivalent atoms are V at (0.235, 0.000, 0.311), Rh at (0.000, 0.500, 0.000), O at (0.101, 0.000, 0.119), O at (0.118, 0.500, 0.790) and O at (0.191, 0.500, 0.400).